A relaxed Er2ThTe crystal, computed with GGA-PBE.

Space-group type   P4/mmm
Energy   -5.4712 eV/atom
Density of states at the Fermi level   2.9 states/eV/cell

Cell lengths 3.7928, 3.7928, 8.0842 Å; angles 90.00, 90.00, 90.00 degrees
With the nearest neighbours (Å) after each atom.
Fractional coordinates of all 4 atoms:
Er1 0.0000 0.0000 0.2241  4 Te 3.24, 4 Th 3.49, 1 Er 3.62
Er2 0.0000 0.0000 0.7759  4 Te 3.24, 4 Th 3.49, 1 Er 3.62
Th1 0.5000 0.5000 0.5000  8 Er 3.49, 4 Th 3.79
Te1 0.5000 0.5000 0.0000  8 Er 3.24

***

A relaxed ErTh3Tl3Te8 crystal, computed with GGA-PBE.

Space-group type   R-3m
Energy   -4.8894 eV/atom
Density of states at the Fermi level   9.6 states/eV/cell

Cell lengths 9.9172, 9.9172, 9.9172 Å; angles 52.58, 52.58, 52.58 degrees
With the nearest neighbours (Å) after each atom.
Fractional coordinates of all 15 atoms:
Er1 0.0000 0.0000 0.0000  6 Te 3.10
Th1 0.0000 0.5000 0.5000  6 Te 3.16-3.19
Th2 0.5000 0.0000 0.5000  6 Te 3.16-3.19
Th3 0.5000 0.5000 0.0000  6 Te 3.16-3.19
Tl1 0.0000 0.0000 0.5000  6 Te 3.44-3.48
Tl2 0.0000 0.5000 0.0000  6 Te 3.44-3.48
Tl3 0.5000 0.0000 0.0000  6 Te 3.44-3.48
Te1 0.2356 0.2356 0.7457  1 Er 3.10, 2 Th 3.16
Te2 0.2356 0.7457 0.2356  1 Er 3.10, 2 Th 3.16
Te3 0.2543 0.7644 0.7644  1 Er 3.10, 2 Th 3.16
Te4 0.2578 0.2578 0.2578  3 Th 3.19, 3 Tl 3.44
Te5 0.7422 0.7422 0.7422  3 Th 3.19, 3 Tl 3.44
Te6 0.7457 0.2356 0.2356  1 Er 3.10, 2 Th 3.16
Te7 0.7644 0.2543 0.7644  1 Er 3.10, 2 Th 3.16
Te8 0.7644 0.7644 0.2543  1 Er 3.10, 2 Th 3.16

***

A relaxed Er2ThTl3Te6 crystal, computed with GGA-PBE.

Space-group type   C2/m
Energy   -4.4985 eV/atom
Density of states at the Fermi level   4.5 states/eV/cell

Cell lengths 7.6395, 7.6395, 8.6970 Å; angles 98.43, 98.43, 120.00 degrees
With the nearest neighbours (Å) after each atom.
Fractional coordinates of all 12 atoms:
Er1 0.1670 0.8330 0.0000  6 Te 3.09-3.10
Er2 0.8330 0.1670 0.0000  6 Te 3.09-3.10
Th1 0.5000 0.5000 0.0000  6 Te 3.15-3.16
Tl1 0.0000 0.0000 0.5000  6 Te 3.44-3.49
Tl2 0.3349 0.6651 0.5000  6 Te 3.45-3.49
Tl3 0.6651 0.3349 0.5000  6 Te 3.45-3.49
Te1 0.0884 0.4277 0.7837  2 Er 3.10, 1 Th 3.16, 1 Tl 3.45
Te2 0.2320 0.2320 0.2149  2 Er 3.09, 1 Th 3.15, 1 Tl 3.44
Te3 0.4277 0.0884 0.7837  2 Er 3.10, 1 Th 3.16, 1 Tl 3.45
Te4 0.5723 0.9116 0.2163  2 Er 3.10, 1 Th 3.16, 1 Tl 3.45
Te5 0.7680 0.7680 0.7851  2 Er 3.09, 1 Th 3.15, 1 Tl 3.44
Te6 0.9116 0.5723 0.2163  2 Er 3.10, 1 Th 3.16, 1 Tl 3.45

***

A relaxed Er3ThTl3Te8 crystal, computed with GGA-PBE.

Space-group type   R-3m
Energy   -4.6248 eV/atom

Cell lengths 9.6895, 9.6895, 9.6895 Å; angles 54.25, 54.25, 54.25 degrees
With the nearest neighbours (Å) after each atom.
Fractional coordinates of all 15 atoms:
Er1 0.0000 0.5000 0.5000  6 Te 3.08-3.09
Er2 0.5000 0.0000 0.5000  6 Te 3.08-3.09
Er3 0.5000 0.5000 0.0000  6 Te 3.08-3.09
Th1 0.0000 0.0000 0.0000  6 Te 3.15
Tl1 0.0000 0.0000 0.5000  6 Te 3.49
Tl2 0.0000 0.5000 0.0000  6 Te 3.49
Tl3 0.5000 0.0000 0.0000  6 Te 3.49
Te1 0.2420 0.2420 0.7305  2 Er 3.08, 1 Th 3.15
Te2 0.2420 0.7305 0.2420  2 Er 3.08, 1 Th 3.15
Te3 0.2631 0.2631 0.2631  3 Er 3.09
Te4 0.2695 0.7580 0.7580  2 Er 3.08, 1 Th 3.15
Te5 0.7305 0.2420 0.2420  2 Er 3.08, 1 Th 3.15
Te6 0.7369 0.7369 0.7369  3 Er 3.09
Te7 0.7580 0.2695 0.7580  2 Er 3.08, 1 Th 3.15
Te8 0.7580 0.7580 0.2695  2 Er 3.08, 1 Th 3.15

***

> Which of these has the highest energy?

Er2ThTl3Te6